Li17AcMg | PBE | relaxed

CIF file:
```
data_Li17AcMg
_space_group_name_H-M_alt 'R 3 m'
_space_group_IT_number 160
_space_group_name_Hall 'R 3 -2"'
_cell_length_a 9.7149
_cell_length_b 9.7149
_cell_length_c 15.1352
_cell_angle_alpha 90.00
_cell_angle_beta 90.00
_cell_angle_gamma 120.00
loop_
_atom_site_label
_atom_site_type_symbol
_atom_site_fract_x
_atom_site_fract_y
_atom_site_fract_z
Li1 Li 0.0000 0.0000 0.0472
Li2 Li 0.0000 0.0000 0.2306
Li3 Li 0.0380 0.3603 0.8088
Li4 Li 0.1817 0.3635 0.9803
Li5 Li 0.1910 0.3819 0.6187
Li6 Li 0.2008 0.4015 0.3333
Ac1 Ac 0.0000 0.0000 0.4804
Mg1 Mg 0.0000 0.0000 0.8196
```

Summary:
Fermi-level density of states ... 9.615 states/eV/f.u.
Mass density ... 1.49 g/cm3
E_form ... 0.06 eV/atom
Total energy ... -1.955 eV per atom